## w
This record from the Open Quantum Materials Database describes a relaxed structure of BeCoPO. The functional is GGA+U.

Cell and atoms, written as CIF:
```
data_BeCoPO
_chemical_formula_sum 'Be2 Co2 P2 O2'
_cell_length_a 3.431
_cell_length_b 3.431
_cell_length_c 8.152
_cell_angle_alpha 90.00
_cell_angle_beta 90.00
_cell_angle_gamma 90.00
_space_group_name_H-M_alt 'P 4/n m m'
_space_group_IT_number 129
loop_
_space_group_symop_operation_xyz
'x,y,z'
'-x,-y,-z'
'-y+1/2,x,z'
'y+1/2,-x,-z'
'-x+1/2,-y+1/2,z'
'x+1/2,y+1/2,-z'
'y,-x+1/2,z'
'-y,x+1/2,-z'
'x+1/2,-y,-z'
'-x+1/2,y,z'
'-y,-x,-z'
'y,x,z'
'-x,y+1/2,-z'
'x,-y+1/2,z'
'y+1/2,x+1/2,-z'
'-y+1/2,-x+1/2,z'
loop_
_atom_site_label
_atom_site_type_symbol
_atom_site_fract_x
_atom_site_fract_y
_atom_site_fract_z
Be1 Be 0.250 0.250 0.010
Co1 Co 0.250 0.750 0.500
P1 P 0.250 0.250 0.343
O1 O 0.250 0.750 0.000
```



## x
This record from the Open Quantum Materials Database describes a relaxed structure of BeCoPO. The functional is GGA+U.

Cell and atoms, written as CIF:
```
data_BeCoPO
_chemical_formula_sum 'Be2 Co2 P2 O2'
_cell_length_a 2.734
_cell_length_b 5.757
_cell_length_c 5.777
_cell_angle_alpha 90.00
_cell_angle_beta 90.00
_cell_angle_gamma 90.00
_space_group_name_H-M_alt 'P m c 21'
_space_group_IT_number 26
_space_group_name_Hall 'P 2c -2'
loop_
_atom_site_label
_atom_site_type_symbol
_atom_site_fract_x
_atom_site_fract_y
_atom_site_fract_z
Be1 Be 0.000 0.087 0.000
Co1 Co 0.500 0.498 0.749
P1 P 0.000 0.295 0.498
O1 O 0.500 0.199 0.000
```



## y
This record from the Open Quantum Materials Database describes a relaxed structure of BeCoPO. The functional is GGA+U.

Cell and atoms, written as CIF:
```
data_BeCoPO
_chemical_formula_sum 'Be2 Co2 P2 O2'
_cell_length_a 3.525
_cell_length_b 3.525
_cell_length_c 8.106
_cell_angle_alpha 90.00
_cell_angle_beta 90.00
_cell_angle_gamma 90.00
_space_group_name_H-M_alt 'P 4/n m m'
_space_group_IT_number 129
loop_
_space_group_symop_operation_xyz
'x,y,z'
'-x,-y,-z'
'-y+1/2,x,z'
'y+1/2,-x,-z'
'-x+1/2,-y+1/2,z'
'x+1/2,y+1/2,-z'
'y,-x+1/2,z'
'-y,x+1/2,-z'
'x+1/2,-y,-z'
'-x+1/2,y,z'
'-y,-x,-z'
'y,x,z'
'-x,y+1/2,-z'
'x,-y+1/2,z'
'y+1/2,x+1/2,-z'
'-y+1/2,-x+1/2,z'
loop_
_atom_site_label
_atom_site_type_symbol
_atom_site_fract_x
_atom_site_fract_y
_atom_site_fract_z
Be1 Be 0.250 0.750 0.000
Co1 Co 0.250 0.250 0.391
P1 P 0.250 0.250 0.838
O1 O 0.250 0.750 0.500
```



## z
This record from the Open Quantum Materials Database describes a relaxed structure of BeCoPO. The functional is GGA+U.

Cell and atoms, written as CIF:
```
data_BeCoPO
_chemical_formula_sum 'Be2 Co2 P2 O2'
_cell_length_a 3.265
_cell_length_b 6.141
_cell_length_c 4.842
_cell_angle_alpha 90.00
_cell_angle_beta 90.00
_cell_angle_gamma 90.00
_space_group_name_H-M_alt 'P m c 21'
_space_group_IT_number 26
_space_group_name_Hall 'P 2c -2'
loop_
_atom_site_label
_atom_site_type_symbol
_atom_site_fract_x
_atom_site_fract_y
_atom_site_fract_z
Be1 Be 0.000 0.122 0.000
Co1 Co 0.500 0.277 0.399
P1 P 0.500 0.357 0.866
O1 O 0.000 0.091 0.321
```



Going by the energies, x is most stable and the next is 22 meV/atom up.